Version P
This record from OQMD via LeMat-Bulk describes an optimized crystal structure of ScTcAsO. The functional is PBE.

Unit cell a=3.8485 b=3.8485 c=8.2039 alpha=90.00 beta=90.00 gamma=90.00
Space group P4/nmm (No. 129, origin choice 2)
Symmetry-distinct sites (fractional):
1 Sc 0.2500 0.2500 0.1138
2 Tc 0.2500 0.7500 0.5000
3 As 0.2500 0.2500 0.6939
4 O 0.2500 0.7500 0.0000

Version Q
This record from OQMD via LeMat-Bulk describes an optimized crystal structure of ScTcAsO. The functional is PBE.

Unit cell a=4.2385 b=4.2385 c=6.4173 alpha=90.00 beta=90.00 gamma=90.00
Space group P4/nmm (No. 129, origin choice 2)
Symmetry-distinct sites (fractional):
1 Sc 0.2500 0.7500 0.0000
2 Tc 0.2500 0.2500 0.3513
3 As 0.2500 0.2500 0.7364
4 O 0.2500 0.7500 0.5000

Version R
This record from OQMD via LeMat-Bulk describes an optimized crystal structure of ScTcAsO. The functional is PBE.

Unit cell a=4.0271 b=5.7386 c=5.4434 alpha=90.00 beta=90.00 gamma=90.00
Space group Pmc2_1 (No. 26)
Symmetry-distinct sites (fractional):
1 Sc 0.0000 0.2077 0.0000
2 Tc 0.5000 0.4969 0.7552
3 As 0.0000 0.2885 0.5019
4 O 0.5000 0.2096 0.0095

Preferred: version P; penalty for the next structure: 0.278 eV/atom.

Version P
This record from OQMD via LeMat-Bulk describes an optimized crystal structure of SiTcAsO. The functional is PBE.

Unit cell a=2.9847 b=5.7712 c=6.8040 alpha=90.00 beta=90.00 gamma=90.00
Space group Pmc2_1 (No. 26)
Symmetry-distinct sites (fractional):
1 Si 0.0000 0.0799 0.0000
2 Tc 0.5000 0.2287 0.4200
3 As 0.5000 0.3175 0.7787
4 O 0.0000 0.2449 0.2010

Version Q
This record from OQMD via LeMat-Bulk describes an optimized crystal structure of SiTcAsO. The functional is PBE.

Unit cell a=3.3359 b=3.3359 c=10.2103 alpha=90.00 beta=90.00 gamma=90.00
Space group P4/nmm (No. 129, origin choice 2)
Symmetry-distinct sites (fractional):
1 Si 0.2500 0.7500 0.0000
2 Tc 0.2500 0.2500 0.3738
3 As 0.2500 0.2500 0.7591
4 O 0.2500 0.7500 0.5000

Preferred: version P; penalty for the next structure: 0.456 eV/atom.

Version P
This record from OQMD via LeMat-Bulk describes an optimized crystal structure of Sm2As2O5. The functional is PBE.

Unit cell a=3.7396 b=3.7396 c=9.6024 alpha=90.00 beta=90.00 gamma=90.00
Space group P4/mmm (No. 123)
Symmetry-distinct sites (fractional):
1 Sm 0.0000 0.0000 0.2452
2 As 0.5000 0.5000 0.0000
3 As 0.5000 0.5000 0.5000
4 O 0.0000 0.0000 0.0000
5 O 0.0000 0.5000 0.3703

Version Q
This record from OQMD via LeMat-Bulk describes an optimized crystal structure of Sm2As2O5. The functional is PBE.

Unit cell a=4.1283 b=4.1283 c=6.9174 alpha=90.00 beta=90.00 gamma=90.00
Space group P4/mmm (No. 123)
Symmetry-distinct sites (fractional):
1 Sm 0.0000 0.0000 0.0000
2 Sm 0.0000 0.0000 0.5000
3 As 0.5000 0.5000 0.2117
4 O 0.0000 0.5000 0.2370
5 O 0.5000 0.5000 0.5000

Preferred: version Q; penalty for the next structure: 0.017 eV/atom.

Version P
This record from OQMD via LeMat-Bulk describes an optimized crystal structure of SmTaAsO. The functional is PBE.

Unit cell a=4.1395 b=4.1395 c=8.0499 alpha=90.00 beta=90.00 gamma=90.00
Space group P4/nmm (No. 129, origin choice 2)
Symmetry-distinct sites (fractional):
1 Sm 0.2500 0.7500 0.0000
2 Ta 0.2500 0.2500 0.4003
3 As 0.2500 0.2500 0.7400
4 O 0.2500 0.7500 0.5000

Version Q
This record from OQMD via LeMat-Bulk describes an optimized crystal structure of SmTaAsO. The functional is PBE.

Unit cell a=3.9051 b=7.3286 c=5.8508 alpha=90.00 beta=90.00 gamma=90.00
Space group Pmc2_1 (No. 26)
Symmetry-distinct sites (fractional):
1 Sm 0.0000 0.2280 0.0000
2 Ta 0.5000 0.4067 0.5143
3 As 0.0000 0.1732 0.4882
4 O 0.5000 0.3403 0.8564

Preferred: version Q; penalty for the next structure: 0.606 eV/atom.

Version P
This record from OQMD via LeMat-Bulk describes an optimized crystal structure of SmTaAsO. The functional is PBE.

Unit cell a=4.1626 b=4.9524 c=6.8540 alpha=90.00 beta=90.00 gamma=90.00
Space group Pmc2_1 (No. 26)
Symmetry-distinct sites (fractional):
1 Sm 0.0000 0.1767 0.0000
2 Ta 0.5000 0.3617 0.3474
3 As 0.5000 0.1471 0.6972
4 O 0.0000 0.3637 0.3445

Version Q
This record from OQMD via LeMat-Bulk describes an optimized crystal structure of SmTaAsO. The functional is PBE.

Unit cell a=3.9983 b=3.9983 c=9.1722 alpha=90.00 beta=90.00 gamma=90.00
Space group P4/nmm (No. 129, origin choice 2)
Symmetry-distinct sites (fractional):
1 Sm 0.2500 0.2500 0.1266
2 Ta 0.2500 0.7500 0.5000
3 As 0.2500 0.2500 0.6950
4 O 0.2500 0.7500 0.0000

Preferred: version Q; penalty for the next structure: 0.212 eV/atom.